## TaRe2Se (GGA-PBE)

Data for TaRe2Se after structural relaxation.

abc: 4.851 4.851 3.094
angles: 90.00 90.00 115.46
Atoms (fractional coordinates):
1 Ta 0.000 0.000 0.000
2 Re 0.000 0.500 0.500
3 Re 0.500 0.000 0.500
4 Se 0.500 0.500 0.000

Results
Crystal system: orthorhombic
Total energy, eV/cell: -38.4
Space group: Cmmm (65)
Formation energy from raw total energies, meV per atom: 459